(1)
KPa2Cl8 after structural relaxation, computed with GGA-PBE.

Structure (POSCAR):
```
KPa2Cl8
1.0
5.125 0.000 -1.637
-0.941 6.569 -2.944
-0.009 -0.063 8.811
K Cl Pa
1 8 2
Direct
0.000 0.000 0.000
0.456 0.350 0.402
0.946 0.052 0.402
0.104 0.604 0.209
0.500 0.731 0.000
0.896 0.396 0.791
0.544 0.948 0.598
0.054 0.650 0.598
0.500 0.269 0.000
0.343 0.343 0.685
0.657 0.657 0.315
```

Results
Space-group type ... I222 (23)
Total energy ... -54.58 eV per formula unit
Distance to the lowest polymorph of the same formula ... 2 meV per atom

(2)
K6PaCl12 after structural relaxation, computed with GGA-PBE.

Structure (POSCAR):
```
K6PaCl12
1.0
8.847 0.741 -1.731
-2.233 8.592 -1.731
0.525 0.741 8.999
Cl Pa K
12 1 6
Direct
0.717 0.013 0.946
0.946 0.717 0.013
0.398 0.568 0.837
0.432 0.163 0.602
0.602 0.432 0.163
0.163 0.602 0.432
0.054 0.283 0.987
0.283 0.987 0.054
0.987 0.054 0.283
0.837 0.398 0.568
0.568 0.837 0.398
0.013 0.946 0.717
0.000 0.000 0.000
0.384 0.838 0.665
0.616 0.162 0.335
0.838 0.665 0.384
0.335 0.616 0.162
0.162 0.335 0.616
0.665 0.384 0.838
```

Results
Space-group type ... R-3 (148)
Total energy ... -71.93 eV per formula unit

(3)
K2PaCl6 after structural relaxation, computed with GGA-PBE.

Structure (POSCAR):
```
K2PaCl6
1.0
7.498 0.000 -0.730
0.000 8.035 0.000
-0.092 0.000 10.774
K Cl Pa
4 12 2
Direct
0.044 0.584 0.235
0.456 0.084 0.265
0.956 0.416 0.765
0.544 0.916 0.735
0.853 0.938 0.271
0.353 0.562 0.771
0.844 0.729 0.580
0.715 0.176 0.549
0.156 0.271 0.420
0.656 0.229 0.920
0.215 0.324 0.049
0.785 0.676 0.951
0.647 0.438 0.229
0.344 0.771 0.080
0.285 0.824 0.451
0.147 0.062 0.729
0.000 0.000 0.500
0.500 0.500 0.000
```

Results
Space-group type ... P2_1/c (14)
Total energy ... -40.65 eV per formula unit